BaY2Os: optimized geometry, PBE.

Lattice parameters (Å, degrees): 3.496 3.496 10.193 90.00 90.00 90.00
Space group P4/mmm (No. 123)
Asymmetric unit:
Ba 0.000 0.000 0.000 [1 per cell]
Y 0.500 0.500 0.341 [2 per cell]
Os 0.000 0.000 0.500 [1 per cell]

Computed properties:
formation energy = -38.9 meV per atom
magnetic moment = 0.00 μB per cell
E above lowest polymorph = 0.0 meV per atom
calculated volume = 31.14 Å³/atom
D(E_F) = 2.89 states/eV per cell


Sm3Al8Cu3: optimized geometry, PBE.

Lattice parameters (Å, degrees): 15.834 4.338 9.553 90.00 126.71 90.00
Space group C2/m (No. 12)
Asymmetric unit:
Sm 0.000 0.000 0.000 [2 per cell]
Sm 0.200 0.500 0.696 [4 per cell]
Al 0.002 0.500 0.308 [4 per cell]
Al 0.136 0.000 0.852 [4 per cell]
Al 0.145 0.000 0.420 [4 per cell]
Al 0.156 0.500 0.037 [4 per cell]
Cu 0.000 0.000 0.500 [2 per cell]
Cu 0.156 0.500 0.299 [4 per cell]

Computed properties:
formation energy = -398.7 meV per atom
magnetic moment = 0.00 μB per cell
E above lowest polymorph = 9.6 meV per atom
calculated volume = 18.78 Å³/atom
D(E_F) = 14.74 states/eV per cell


- Which value of magnetic moment does entry 2 give?
  0.00 μB per cell